No. 1
# PBE-GGA PmNd4Pt, optimized geometry
# Electronic total energy: -5.2643 eV/atom
# Calculated formation energy: -28 kJ/mol of atoms
# Crystal system: orthorhombic
data_PmNd4Pt
_chemical_formula_sum 'Pm4 Nd16 Pt4'
_space_group_name_H-M_alt 'C m c 21'
_space_group_IT_number 36
_cell_length_a 5.328
_cell_length_b 22.124
_cell_length_c 6.550
_cell_angle_alpha 90.00
_cell_angle_beta 90.00
_cell_angle_gamma 90.00
loop_
_space_group_symop_operation_xyz
'x,y,z'
'-x,-y,z+1/2'
'-x,y,z'
'x,-y,z+1/2'
'x+1/2,y+1/2,z'
'-x+1/2,-y+1/2,z+1/2'
'-x+1/2,y+1/2,z'
'x+1/2,-y+1/2,z+1/2'
loop_
_atom_site_label
_atom_site_type_symbol
_atom_site_fract_x
_atom_site_fract_y
_atom_site_fract_z
Pm1 Pm 0.000 0.131 0.000
Nd1 Nd 0.000 0.072 0.521
Nd2 Nd 0.000 0.264 0.366
Nd3 Nd 0.000 0.335 0.864
Nd4 Nd 0.000 0.473 0.641
Pt1 Pt 0.000 0.395 0.271

***

No. 2
# PBE-GGA KRbGa3, optimized geometry
# Electronic total energy: -1.5393 eV/atom
# Calculated formation energy: 67 kJ/mol of atoms
# Crystal system: cubic
data_KRbGa3
_chemical_formula_sum 'K1 Rb1 Ga3'
_space_group_name_H-M_alt 'P m -3 m'
_space_group_IT_number 221
_space_group_name_Hall '-P 4 2 3'
_cell_length_a 6.064
_cell_length_b 6.064
_cell_length_c 6.064
_cell_angle_alpha 90.00
_cell_angle_beta 90.00
_cell_angle_gamma 90.00
loop_
_atom_site_label
_atom_site_type_symbol
_atom_site_fract_x
_atom_site_fract_y
_atom_site_fract_z
K1 K 0.000 0.000 0.000
Rb1 Rb 0.500 0.500 0.500
Ga1 Ga 0.000 0.000 0.500

***

No. 3
# PBE-GGA PmPr6DyEr2, optimized geometry
# Electronic total energy: -4.6023 eV/atom
# Calculated formation energy: 11 kJ/mol of atoms
# Crystal system: monoclinic
data_PmPr6DyEr2
_chemical_formula_sum 'Pm4 Pr24 Dy4 Er8'
_space_group_name_H-M_alt 'C 1 2/c 1'
_space_group_IT_number 15
_cell_length_a 9.380
_cell_length_b 15.349
_cell_length_c 9.729
_cell_angle_alpha 90.00
_cell_angle_beta 97.40
_cell_angle_gamma 90.00
loop_
_space_group_symop_operation_xyz
'x,y,z'
'-x,-y,-z'
'-x,y,-z+1/2'
'x,-y,z+1/2'
'x+1/2,y+1/2,z'
'-x+1/2,-y+1/2,-z'
'-x+1/2,y+1/2,-z+1/2'
'x+1/2,-y+1/2,z+1/2'
loop_
_atom_site_label
_atom_site_type_symbol
_atom_site_fract_x
_atom_site_fract_y
_atom_site_fract_z
Pm1 Pm 0.000 0.029 0.250
Pr1 Pr 0.063 0.176 0.945
Pr2 Pr 0.096 0.391 0.118
Pr3 Pr 0.216 0.222 0.313
Dy1 Dy 0.000 0.411 0.750
Er1 Er 0.249 0.048 0.548

***

no.,density of states at the Fermi level (states/eV per cell)
1,28.98
2,6.73
3,58.82